Entry 1:
{
  "formula": "Ca3PaO6",
  "functional": "GGA-PBE",
  "state": "optimized geometry",
  "lattice_angstrom": [[6.835, 0.025, 0.026], [-0.123, 6.834, 0.026], [-0.123, -0.126, 6.833]],
  "species": ["Ca", "Ca", "Ca", "Ca", "Ca", "Ca", "Pa", "Pa", "O", "O", "O", "O", "O", "O", "O", "O", "O", "O", "O", "O"],
  "frac_coords": [[0.447, 0.942, 0.751], [0.942, 0.751, 0.447], [0.249, 0.553, 0.058], [0.751, 0.447, 0.942], [0.058, 0.249, 0.553], [0.553, 0.058, 0.249], [0.000, 0.000, 0.000], [0.500, 0.500, 0.500], [0.298, 0.917, 0.063], [0.083, 0.937, 0.702], [0.593, 0.799, 0.466], [0.937, 0.702, 0.083], [0.466, 0.593, 0.799], [0.201, 0.534, 0.407], [0.799, 0.466, 0.593], [0.534, 0.407, 0.201], [0.063, 0.298, 0.917], [0.407, 0.201, 0.534], [0.917, 0.063, 0.298], [0.702, 0.083, 0.937]],
  "magmom_total_mub_per_cell": 1.71,
  "mass_density_g_cm3": 4.7,
  "dos_ef_per_ev_cell": 12.45,
  "e_form_raw_ev_per_atom": -3.07,
  "total_energy_ev_per_atom": -7.5902
}

Entry 2:
{
  "formula": "CaPaO4",
  "functional": "GGA-PBE",
  "state": "optimized geometry",
  "lattice_angstrom": [[3.696, 0.000, 0.000], [0.000, 3.696, 0.000], [0.000, 0.000, 6.161]],
  "species": ["Ca", "Pa", "O", "O", "O", "O"],
  "frac_coords": [[0.000, 0.000, 0.000], [0.000, 0.000, 0.500], [0.500, 0.000, 0.279], [0.000, 0.500, 0.279], [0.000, 0.500, 0.721], [0.500, 0.000, 0.721]],
  "magmom_total_mub_per_cell": 0.00,
  "mass_density_g_cm3": 6.6,
  "dos_ef_per_ev_cell": 2.27,
  "e_form_raw_ev_per_atom": -2.78,
  "total_energy_ev_per_atom": -7.9999
}

Entry 3:
{
  "formula": "CaPa2O6",
  "functional": "GGA-PBE",
  "state": "optimized geometry",
  "lattice_angstrom": [[-0.041, 3.753, 1.112], [-3.370, -1.913, -0.558], [0.023, -2.617, 8.837]],
  "species": ["Ca", "Pa", "Pa", "O", "O", "O", "O", "O", "O"],
  "frac_coords": [[0.000, 0.000, 0.000], [0.333, 0.667, 0.671], [0.667, 0.333, 0.329], [0.000, 0.000, 0.277], [0.333, 0.667, 0.892], [0.667, 0.333, 0.580], [0.667, 0.333, 0.108], [0.000, 0.000, 0.723], [0.333, 0.667, 0.420]],
  "magmom_total_mub_per_cell": 0.00,
  "mass_density_g_cm3": 8.1,
  "dos_ef_per_ev_cell": 0.00,
  "e_form_raw_ev_per_atom": -3.58,
  "total_energy_ev_per_atom": -9.2150
}

Entry 4:
{
  "formula": "CaPaO4",
  "functional": "GGA-PBE",
  "state": "optimized geometry",
  "lattice_angstrom": [[5.526, 0.000, 0.000], [0.000, 5.526, 0.000], [-2.763, -2.763, 5.285]],
  "species": ["Ca", "Ca", "Pa", "Pa", "O", "O", "O", "O", "O", "O", "O", "O"],
  "frac_coords": [[0.000, 0.000, 0.000], [0.750, 0.250, 0.500], [0.500, 0.500, 0.000], [0.250, 0.750, 0.500], [0.875, 0.854, 0.250], [0.146, 0.125, 0.750], [0.604, 0.625, 0.750], [0.375, 0.396, 0.250], [0.375, 0.854, 0.250], [0.146, 0.625, 0.750], [0.604, 0.125, 0.750], [0.875, 0.396, 0.250]],
  "magmom_total_mub_per_cell": 1.91,
  "mass_density_g_cm3": 6.9,
  "dos_ef_per_ev_cell": 8.87,
  "e_form_raw_ev_per_atom": -3.07,
  "total_energy_ev_per_atom": -8.2890
}

Entry 5:
{
  "formula": "Ca2PaO5",
  "functional": "GGA-PBE",
  "state": "optimized geometry",
  "lattice_angstrom": [[-4.406, 4.147, 0.949], [-4.950, -5.003, -1.120], [0.024, -2.193, 9.691]],
  "species": ["Ca", "Ca", "Ca", "Ca", "Ca", "Ca", "Ca", "Ca", "Pa", "Pa", "Pa", "Pa", "O", "O", "O", "O", "O", "O", "O", "O", "O", "O", "O", "O", "O", "O", "O", "O", "O", "O", "O", "O"],
  "frac_coords": [[0.495, 0.500, 0.825], [0.505, 0.500, 0.175], [0.995, 0.500, 0.675], [0.505, 0.000, 0.175], [0.005, 0.500, 0.325], [0.495, 0.000, 0.825], [0.005, 0.000, 0.325], [0.995, 0.000, 0.675], [0.467, 0.250, 0.507], [0.533, 0.750, 0.493], [0.967, 0.750, 0.993], [0.033, 0.250, 0.007], [0.062, 0.250, 0.491], [0.938, 0.750, 0.509], [0.562, 0.750, 0.009], [0.438, 0.250, 0.991], [0.356, 0.978, 0.598], [0.644, 0.022, 0.402], [0.856, 0.022, 0.902], [0.644, 0.478, 0.402], [0.144, 0.978, 0.098], [0.356, 0.522, 0.598], [0.144, 0.522, 0.098], [0.856, 0.478, 0.902], [0.210, 0.250, 0.807], [0.790, 0.750, 0.193], [0.710, 0.750, 0.693], [0.290, 0.250, 0.307], [0.689, 0.250, 0.672], [0.311, 0.750, 0.328], [0.189, 0.750, 0.828], [0.811, 0.250, 0.172]],
  "magmom_total_mub_per_cell": 4.18,
  "mass_density_g_cm3": 6.0,
  "e_form_raw_ev_per_atom": -3.04,
  "total_energy_ev_per_atom": -7.8274
}

Entry 6:
{
  "formula": "CaPa3O8",
  "functional": "GGA-PBE",
  "state": "optimized geometry",
  "lattice_angstrom": [[-4.992, 4.811, -1.666], [-6.782, -2.040, -0.829], [-4.893, 1.863, 4.783]],
  "species": ["Ca", "Pa", "Pa", "Pa", "O", "O", "O", "O", "O", "O", "O", "O"],
  "frac_coords": [[0.500, 0.500, 0.500], [0.000, 0.500, 0.000], [0.500, 0.000, 0.000], [0.500, 0.500, 0.000], [0.726, 0.726, 0.823], [0.274, 0.274, 0.177], [0.735, 0.735, 0.196], [0.735, 0.334, 0.196], [0.334, 0.735, 0.196], [0.666, 0.265, 0.804], [0.265, 0.666, 0.804], [0.265, 0.265, 0.804]],
  "magmom_total_mub_per_cell": 1.04,
  "mass_density_g_cm3": 5.6,
  "dos_ef_per_ev_cell": 7.35,
  "e_form_raw_ev_per_atom": -3.31,
  "total_energy_ev_per_atom": -9.1596
}

Entry 7:
{
  "formula": "CaPaO2",
  "functional": "GGA-PBE",
  "state": "optimized geometry",
  "lattice_angstrom": [[-3.236, 0.629, 1.912], [-3.216, -1.741, -1.072], [-0.836, -5.133, 4.070]],
  "species": ["Ca", "Pa", "O", "O"],
  "frac_coords": [[0.000, 0.000, 0.000], [0.500, 0.500, 0.500], [0.125, 0.125, 0.624], [0.875, 0.875, 0.376]],
  "magmom_total_mub_per_cell": 0.95,
  "mass_density_g_cm3": 6.4,
  "dos_ef_per_ev_cell": 4.23,
  "e_form_raw_ev_per_atom": -2.56,
  "total_energy_ev_per_atom": -7.9169
}

Entry 8:
{
  "formula": "Ca3Pa5O12",
  "functional": "GGA-PBE",
  "state": "optimized geometry",
  "lattice_angstrom": [[-8.644, 1.338, 8.399], [-5.004, -3.755, -10.388], [8.084, -8.206, 3.791]],
  "species": ["Ca", "Ca", "Ca", "Ca", "Ca", "Ca", "Ca", "Ca", "Ca", "Ca", "Ca", "Ca", "Pa", "Pa", "Pa", "Pa", "Pa", "Pa", "Pa", "Pa", "Pa", "Pa", "Pa", "Pa", "Pa", "Pa", "Pa", "Pa", "Pa", "Pa", "Pa", "Pa", "O", "O", "O", "O", "O", "O", "O", "O", "O", "O", "O", "O", "O", "O", "O", "O", "O", "O", "O", "O", "O", "O", "O", "O", "O", "O", "O", "O", "O", "O", "O", "O", "O", "O", "O", "O", "O", "O", "O", "O", "O", "O", "O", "O", "O", "O", "O", "O"],
  "frac_coords": [[0.750, 0.375, 0.125], [0.875, 0.750, 0.125], [0.375, 0.750, 0.625], [0.250, 0.125, 0.375], [0.875, 0.125, 0.250], [0.375, 0.625, 0.250], [0.625, 0.375, 0.750], [0.125, 0.875, 0.750], [0.750, 0.875, 0.625], [0.625, 0.250, 0.375], [0.125, 0.250, 0.875], [0.250, 0.625, 0.875], [0.125, 0.375, 0.250], [0.000, 0.500, 0.000], [0.000, 0.000, 0.000], [0.375, 0.250, 0.125], [0.500, 0.000, 0.500], [0.500, 0.500, 0.000], [0.125, 0.750, 0.375], [0.750, 0.125, 0.875], [0.750, 0.625, 0.375], [0.375, 0.125, 0.750], [0.625, 0.875, 0.250], [0.500, 0.500, 0.500], [0.500, 0.000, 0.000], [0.000, 0.000, 0.500], [0.250, 0.375, 0.625], [0.250, 0.875, 0.125], [0.000, 0.500, 0.500], [0.875, 0.250, 0.625], [0.625, 0.750, 0.875], [0.875, 0.625, 0.750], [0.700, 0.138, 0.031], [0.331, 0.531, 0.393], [0.969, 0.362, 0.300], [0.531, 0.200, 0.138], [0.562, 0.700, 0.669], [0.969, 0.607, 0.169], [0.331, 0.800, 0.438], [0.107, 0.938, 0.138], [0.607, 0.969, 0.669], [0.700, 0.562, 0.169], [0.800, 0.469, 0.362], [0.831, 0.893, 0.031], [0.138, 0.700, 0.531], [0.362, 0.393, 0.062], [0.062, 0.893, 0.362], [0.438, 0.138, 0.607], [0.062, 0.169, 0.200], [0.469, 0.669, 0.107], [0.831, 0.938, 0.300], [0.138, 0.438, 0.107], [0.362, 0.969, 0.800], [0.607, 0.638, 0.438], [0.893, 0.831, 0.531], [0.800, 0.331, 0.938], [0.393, 0.362, 0.562], [0.107, 0.169, 0.469], [0.200, 0.669, 0.062], [0.169, 0.062, 0.700], [0.638, 0.031, 0.200], [0.862, 0.562, 0.893], [0.531, 0.331, 0.893], [0.562, 0.862, 0.393], [0.938, 0.831, 0.800], [0.938, 0.107, 0.638], [0.862, 0.300, 0.469], [0.169, 0.107, 0.969], [0.638, 0.607, 0.938], [0.393, 0.031, 0.331], [0.300, 0.438, 0.831], [0.200, 0.531, 0.638], [0.893, 0.062, 0.862], [0.669, 0.200, 0.562], [0.469, 0.800, 0.862], [0.031, 0.393, 0.831], [0.438, 0.300, 0.331], [0.031, 0.638, 0.700], [0.669, 0.469, 0.607], [0.300, 0.862, 0.969]],
  "magmom_total_mub_per_cell": 7.07,
  "mass_density_g_cm3": 7.1,
  "dos_ef_per_ev_cell": 40.56,
  "e_form_raw_ev_per_atom": -3.11,
  "total_energy_ev_per_atom": -8.7559
}

Entry 9:
{
  "formula": "Ca5Pa3O12",
  "functional": "GGA-PBE",
  "state": "optimized geometry",
  "lattice_angstrom": [[-10.278, -2.656, -4.435], [7.270, -8.761, -1.654], [-1.090, 2.002, 11.276]],
  "species": ["Ca", "Ca", "Ca", "Ca", "Ca", "Ca", "Ca", "Ca", "Ca", "Ca", "Ca", "Ca", "Ca", "Ca", "Ca", "Ca", "Ca", "Ca", "Ca", "Ca", "Pa", "Pa", "Pa", "Pa", "Pa", "Pa", "Pa", "Pa", "Pa", "Pa", "Pa", "Pa", "O", "O", "O", "O", "O", "O", "O", "O", "O", "O", "O", "O", "O", "O", "O", "O", "O", "O", "O", "O", "O", "O", "O", "O", "O", "O", "O", "O", "O", "O", "O", "O", "O", "O", "O", "O", "O", "O", "O", "O", "O", "O", "O", "O", "O", "O", "O", "O"],
  "frac_coords": [[0.125, 0.375, 0.250], [0.000, 0.500, 0.000], [0.000, 0.000, 0.000], [0.375, 0.250, 0.125], [0.500, 0.000, 0.500], [0.500, 0.500, 0.000], [0.125, 0.750, 0.375], [0.750, 0.125, 0.875], [0.750, 0.625, 0.375], [0.375, 0.125, 0.750], [0.625, 0.875, 0.250], [0.500, 0.500, 0.500], [0.500, 0.000, 0.000], [0.000, 0.000, 0.500], [0.250, 0.375, 0.625], [0.250, 0.875, 0.125], [0.000, 0.500, 0.500], [0.875, 0.250, 0.625], [0.625, 0.750, 0.875], [0.875, 0.625, 0.750], [0.750, 0.375, 0.125], [0.875, 0.750, 0.125], [0.375, 0.750, 0.625], [0.250, 0.125, 0.375], [0.875, 0.125, 0.250], [0.375, 0.625, 0.250], [0.625, 0.375, 0.750], [0.125, 0.875, 0.750], [0.750, 0.875, 0.625], [0.625, 0.250, 0.375], [0.125, 0.250, 0.875], [0.250, 0.625, 0.875], [0.733, 0.134, 0.060], [0.327, 0.560, 0.426], [0.940, 0.366, 0.267], [0.560, 0.233, 0.134], [0.600, 0.733, 0.673], [0.940, 0.574, 0.173], [0.327, 0.767, 0.400], [0.074, 0.900, 0.134], [0.574, 0.940, 0.673], [0.733, 0.600, 0.173], [0.767, 0.440, 0.366], [0.827, 0.926, 0.060], [0.134, 0.733, 0.560], [0.366, 0.426, 0.100], [0.100, 0.926, 0.366], [0.400, 0.134, 0.574], [0.100, 0.173, 0.233], [0.440, 0.673, 0.074], [0.827, 0.900, 0.267], [0.134, 0.400, 0.074], [0.366, 0.940, 0.767], [0.574, 0.634, 0.400], [0.926, 0.827, 0.560], [0.767, 0.327, 0.900], [0.426, 0.366, 0.600], [0.074, 0.173, 0.440], [0.233, 0.673, 0.100], [0.173, 0.100, 0.733], [0.634, 0.060, 0.233], [0.866, 0.600, 0.926], [0.560, 0.327, 0.926], [0.600, 0.866, 0.426], [0.900, 0.827, 0.767], [0.900, 0.074, 0.634], [0.866, 0.267, 0.440], [0.173, 0.074, 0.940], [0.634, 0.574, 0.900], [0.426, 0.060, 0.327], [0.267, 0.400, 0.827], [0.233, 0.560, 0.634], [0.926, 0.100, 0.866], [0.673, 0.233, 0.600], [0.440, 0.767, 0.866], [0.060, 0.426, 0.827], [0.400, 0.267, 0.327], [0.060, 0.634, 0.733], [0.673, 0.440, 0.574], [0.267, 0.866, 0.940]],
  "magmom_total_mub_per_cell": 4.71,
  "mass_density_g_cm3": 6.2,
  "dos_ef_per_ev_cell": 32.26,
  "e_form_raw_ev_per_atom": -3.04,
  "total_energy_ev_per_atom": -7.9421
}

Entry 10:
{
  "formula": "Ca2PaO4",
  "functional": "GGA-PBE",
  "state": "optimized geometry",
  "lattice_angstrom": [[3.572, 0.000, 0.000], [0.000, 5.878, 0.000], [0.000, 0.000, 10.005]],
  "species": ["Ca", "Ca", "Ca", "Ca", "Pa", "Pa", "O", "O", "O", "O", "O", "O", "O", "O"],
  "frac_coords": [[0.500, 0.941, 0.823], [0.500, 0.059, 0.177], [0.500, 0.441, 0.677], [0.500, 0.559, 0.323], [0.000, 0.000, 0.500], [0.000, 0.500, 0.000], [0.000, 0.652, 0.799], [0.000, 0.348, 0.201], [0.000, 0.152, 0.701], [0.000, 0.848, 0.299], [0.500, 0.770, 0.547], [0.500, 0.230, 0.453], [0.500, 0.730, 0.047], [0.500, 0.270, 0.953]],
  "magmom_total_mub_per_cell": 2.06,
  "mass_density_g_cm3": 5.9,
  "relative_energy_ev_per_fu": 0.00,
  "dos_ef_per_ev_cell": 2.59,
  "e_form_raw_ev_per_atom": -3.17,
  "total_energy_ev_per_atom": -7.9296
}

Entry 11:
{
  "formula": "Ca2PaO4",
  "functional": "GGA-PBE",
  "state": "optimized geometry",
  "lattice_angstrom": [[5.968, 0.089, -2.376], [-3.248, 5.285, -1.673], [0.055, -0.089, 6.424]],
  "species": ["Ca", "Ca", "Ca", "Ca", "Pa", "Pa", "O", "O", "O", "O", "O", "O", "O", "O"],
  "frac_coords": [[0.750, 0.375, 0.125], [0.250, 0.875, 0.625], [0.250, 0.375, 0.625], [0.750, 0.375, 0.625], [0.500, 0.750, 0.250], [0.000, 0.000, 0.000], [0.799, 0.120, 0.321], [0.799, 0.679, 0.478], [0.201, 0.522, 0.321], [0.201, 0.679, 0.880], [0.299, 0.071, 0.370], [0.299, 0.228, 0.929], [0.701, 0.071, 0.772], [0.701, 0.630, 0.929]],
  "magmom_total_mub_per_cell": 1.97,
  "mass_density_g_cm3": 6.1,
  "relative_energy_ev_per_fu": 0.79,
  "dos_ef_per_ev_cell": 9.65,
  "e_form_raw_ev_per_atom": -3.06,
  "total_energy_ev_per_atom": -7.8173
}

Entry 12:
{
  "formula": "CaPaPdO4",
  "functional": "GGA-PBE",
  "state": "optimized geometry",
  "lattice_angstrom": [[-5.998, 4.106, 0.275], [2.488, -3.142, 4.983], [3.366, 5.143, -3.364]],
  "species": ["Ca", "Ca", "Pa", "Pa", "Pd", "Pd", "O", "O", "O", "O", "O", "O", "O", "O"],
  "frac_coords": [[0.904, 0.807, 0.154], [0.096, 0.193, 0.846], [0.500, 0.000, 0.500], [0.500, 0.000, 0.000], [0.500, 0.500, 0.500], [0.000, 0.500, 0.500], [0.777, 0.555, 0.719], [0.252, 0.859, 0.180], [0.607, 0.859, 0.180], [0.777, 0.555, 0.335], [0.223, 0.445, 0.665], [0.748, 0.141, 0.820], [0.393, 0.141, 0.820], [0.223, 0.445, 0.281]],
  "magmom_total_mub_per_cell": 0.00,
  "mass_density_g_cm3": 7.3,
  "dos_ef_per_ev_cell": 5.89,
  "e_form_raw_ev_per_atom": -2.49,
  "total_energy_ev_per_atom": -7.7064
}